(1)
This record from the Alexandria database describes CuTc2Os after structural relaxation. The functional is PBE-GGA.

Its raw total energy is -106.21 eV for the cell shown. As for the relative energy among the computed polymorphs: 0.007 eV/atom. For the formation energy, the calculation gives 0.1637 eV/atom.

Cell: 2.7160 2.7160 26.5222 Å, 90.00 90.00 120.00°
Space group R3m (No. 160, hexagonal axes)
Unique sites:
Cu  0.0000  0.0000  0.0000 [3 per cell]
Tc  0.0000  0.0000  0.2495 [3 per cell]
Tc  0.0000  0.0000  0.5001 [3 per cell]
Os  0.0000  0.0000  0.7497 [3 per cell]



(2)
This record from the Alexandria database describes CaNbPdBr2 after structural relaxation. The functional is PBE-GGA.

Its raw total energy is -19.09 eV for the cell shown. For the formation energy (no corrections), the calculation gives 0.3046 eV/atom.

Cell: 4.949 4.949 6.641 Å, 90.00 90.00 90.00°
Space group P4/mmm (No. 123)
Unique sites:
Ca  0.000  0.000  0.000 [1 per cell]
Nb  0.000  0.000  0.500 [1 per cell]
Pd  0.500  0.500  0.000 [1 per cell]
Br  0.000  0.500  0.500 [2 per cell]



(3)
This record from the Alexandria database describes FeCoSe after structural relaxation. The functional is PBE-GGA.

Its raw total energy is -18.20 eV for the cell shown. For the formation energy (no corrections), the calculation gives 0.2853 eV/atom. As for the relative energy among the computed polymorphs: 0.249 eV/atom.

Cell: 3.0181 3.0181 5.4283 Å, 90.00 90.00 120.00°
Space group P3m1 (No. 156)
Unique sites:
Fe  0.0000  0.0000  0.0000 [1 per cell]
Co  0.6667  0.3333  0.7013 [1 per cell]
Se  0.3333  0.6667  0.3434 [1 per cell]